VASP calculation (GGA-PBE) on crystalline CoReOs2 at its relaxed geometry.

Results
The calculation puts the energy above the most stable polymorph in this dataset at 0.23 eV/f.u. Its energy of formation from the pure elements is 0.1457 eV per atom. The mass density comes out at 18.786 g/cm³.

Cell: 2.7091 2.7091 26.1013 Å, 90.00 90.00 120.00°
Closest atoms and distances in Å follow each position.
Space group R-3m (No. 166, hexagonal axes)
Asymmetric unit:
1 Co 0.0000 0.0000 0.0000 x3  6 Os 2.62, 6 Co 2.71
2 Re 0.0000 0.0000 0.5000 x3  6 Re 2.71, 6 Os 2.74
3 Os 0.0000 0.0000 0.2528 x6  3 Co 2.62, 6 Os 2.71, 3 Re 2.74